Record 1
Here is an optimized crystal structure of CdSICl2 from Alexandria. Energies are from PBE.

Computed properties:
- Energy: -1.80 eV per atom
- DOS at the Fermi energy: 2.5 states/eV per cell
- Raw formation energy: 1.3 eV/f.u.
- Magnetization: 0.0 μB/cell

Cell: 5.4847 5.4847 5.1805 Å, 90.00 90.00 90.00°
With the nearest neighbours (Å) after each atom.
Positions (direct):
Cd: 0.0000 0.0000 0.0000  8 Cl 3.77, 4 S 3.88
S: 0.5000 0.5000 0.0000  2 I 2.59
I: 0.5000 0.5000 0.5000  2 S 2.59, 4 Cl 2.74
Cl: 0.0000 0.5000 0.5000  2 I 2.74
Cl: 0.5000 0.0000 0.5000  2 I 2.74

Record 2
Here is an optimized crystal structure of GdPuCo from Alexandria. Energies are from PBE.

Computed properties:
- Energy: -11.67 eV per atom
- DOS at the Fermi energy: 7.4 states/eV per cell
- Magnetization: 12.4 μB/cell
- Calculated formation energy: 3.956 kcal/mol of atoms

Cell: 4.2306 4.2306 4.4788 Å, 90.00 90.00 120.00°
With the nearest neighbours (Å) after each atom.
Positions (direct):
Gd: 0.0000 0.0000 0.0000  6 Co 3.17-3.46, 6 Pu 3.29-3.33
Pu: 0.6667 0.3333 0.5064  3 Co 2.45
Co: 0.3333 0.6667 0.4514  3 Pu 2.45

Record 3
Here is an optimized crystal structure of NbSnTe2 from Alexandria. Energies are from PBE.

Computed properties:
- Energy: -4.63 eV per atom
- DOS at the Fermi energy: 4.6 states/eV per cell
- Raw formation energy: 1.9 eV/f.u.
- Magnetization: 0.0 μB/cell

Cell: 13.0806 13.0806 13.0806 Å, 13.76 13.76 13.76°
With the nearest neighbours (Å) after each atom.
Positions (direct):
Nb: 0.0000 0.0000 0.0000  2 Te 2.89, 6 Nb 3.13
Sn: 0.5000 0.5000 0.5000  6 Sn 3.13
Te: 0.0743 0.0743 0.0743  1 Nb 2.89, 6 Te 3.13
Te: 0.9257 0.9257 0.9257  1 Nb 2.89, 6 Te 3.13

Record 4
Here is an optimized crystal structure of ZrMnPt from Alexandria. Energies are from PBE.

Computed properties:
- Energy: -8.29 eV per atom
- DOS at the Fermi energy: 2.6 states/eV per cell
- Magnetization: 3.9 μB/cell
- Calculated formation energy: -8.640 kcal/mol of atoms

Cell: 4.5420 4.5420 2.8886 Å, 90.00 90.00 120.00°
With the nearest neighbours (Å) after each atom.
Positions (direct):
Zr: 0.0000 0.0000 0.0000  6 Pt 2.84-3.18, 6 Mn 2.86-3.15, 2 Zr 2.89
Mn: 0.6667 0.3333 0.3962  3 Pt 2.70, 3 Zr 2.86, 2 Mn 2.89
Pt: 0.3333 0.6667 0.6224  3 Mn 2.70, 3 Zr 2.84, 2 Pt 2.89

Record 5
Here is an optimized crystal structure of Li3MnSe from Alexandria. Energies are from PBE.

Computed properties:
- Energy: -3.80 eV per atom
- DOS at the Fermi energy: 4.1 states/eV per cell
- Raw formation energy: -0.6 eV/f.u.
- Magnetization: 4.1 μB/cell

Cell: 4.8054 4.8054 4.8054 Å, 90.00 90.00 90.00°
With the nearest neighbours (Å) after each atom.
Positions (direct):
Li: 0.0000 0.0000 0.5000  2 Se 2.40
Li: 0.0000 0.5000 0.0000  2 Se 2.40
Li: 0.5000 0.0000 0.0000  2 Se 2.40
Mn: 0.5000 0.5000 0.5000  12 Li 3.40
Se: 0.0000 0.0000 0.0000  6 Li 2.40

Record 6
Here is an optimized crystal structure of TaCrFeCu2 from Alexandria. Energies are from PBE.

Computed properties:
- Energy: -6.54 eV per atom
- DOS at the Fermi energy: 5.0 states/eV per cell
- Magnetization: 0.0 μB/cell
- Calculated formation energy: 25.086 kcal/mol of atoms

Cell: 4.3588 4.3588 4.0167 Å, 90.00 90.00 90.00°
With the nearest neighbours (Å) after each atom.
Positions (direct):
Ta: 0.0000 0.0000 0.0000  8 Cu 2.96, 4 Cr 3.08
Cr: 0.5000 0.5000 0.0000  2 Fe 2.01
Fe: 0.5000 0.5000 0.5000  2 Cr 2.01, 4 Cu 2.18
Cu: 0.0000 0.5000 0.5000  2 Fe 2.18
Cu: 0.5000 0.0000 0.5000  2 Fe 2.18

Record 7
Here is an optimized crystal structure of BeCd2Te from Alexandria. Energies are from PBE.

Computed properties:
- Energy: -1.87 eV per atom
- DOS at the Fermi energy: 1.3 states/eV per cell
- Raw formation energy: 1.2 eV/f.u.
- Magnetization: 0.0 μB/cell

Cell: 4.2638 4.1347 5.3946 Å, 90.00 106.93 90.00°
With the nearest neighbours (Å) after each atom.
Positions (direct):
Be: 0.0000 0.0000 0.0000  4 Cd 2.63, 2 Te 2.70
Cd: 0.3595 0.5000 0.2103  2 Be 2.63, 1 Cd 2.86
Cd: 0.6405 0.5000 0.7897  2 Be 2.63, 1 Cd 2.86
Te: 0.0000 0.0000 0.5000  2 Be 2.70

Record 8
Here is an optimized crystal structure of SrP2NO from Alexandria. Energies are from PBE.

Computed properties:
- Energy: -5.17 eV per atom
- DOS at the Fermi energy: 4.4 states/eV per cell
- Raw formation energy: -0.1 eV/f.u.
- Magnetization: 0.0 μB/cell

Cell: 3.6821 3.6821 6.6456 Å, 90.00 90.00 90.00°
With the nearest neighbours (Å) after each atom.
Positions (direct):
Sr: 0.0000 0.0000 0.0000  4 O 2.60
P: 0.0000 0.5000 0.5000  2 N 1.84
P: 0.5000 0.0000 0.5000  2 N 1.84
N: 0.5000 0.5000 0.5000  4 P 1.84
O: 0.5000 0.5000 0.0000  4 Sr 2.60

Record 9
Here is an optimized crystal structure of Tb4YTm2 from Alexandria. Energies are from PBE.

Computed properties:
- Energy: -4.81 eV per atom
- DOS at the Fermi energy: 11.5 states/eV per cell
- Magnetization: 0.0 μB/cell
- Calculated formation energy: 0.828 kcal/mol of atoms

Cell: 8.5301 8.5301 8.6978 Å, 118.81 118.81 23.80°
With the nearest neighbours (Å) after each atom.
Positions (direct):
Tb: 0.1393 0.1393 0.3308  7 Tb 3.52-3.83, 4 Tm 3.55-3.56, 2 Y 3.75
Tb: 0.2045 0.2045 0.7950  3 Tm 3.32-3.47, 5 Tb 3.52-3.63, 2 Y 3.56
Tb: 0.7955 0.7955 0.2050  3 Tm 3.32-3.47, 5 Tb 3.52-3.63, 2 Y 3.56
Tb: 0.8607 0.8607 0.6692  7 Tb 3.52-3.83, 4 Tm 3.55-3.56, 2 Y 3.75
Y: 0.5000 0.5000 0.5000  2 Tm 3.32, 2 Y 3.52, 4 Tb 3.56
Tm: 0.4297 0.4297 0.0703  1 Tm 3.14, 3 Tb 3.32-3.47, 1 Y 3.32
Tm: 0.5703 0.5703 0.9297  1 Tm 3.14, 3 Tb 3.32-3.47, 1 Y 3.32

Record 10
Here is an optimized crystal structure of Fe3Co3Ir from Alexandria. Energies are from PBE.

Computed properties:
- Energy: -7.74 eV per atom
- DOS at the Fermi energy: 35.0 states/eV per cell
- Magnetization: 54.0 μB/cell
- Calculated formation energy: 4.497 kcal/mol of atoms

Cell: 7.0662 7.0662 7.0662 Å, 90.00 90.00 90.00°
With the nearest neighbours (Å) after each atom.
Positions (direct):
Fe: 0.0705 0.1989 0.8867  5 Co 2.32-2.49, 1 Ir 2.55
Fe: 0.1133 0.5705 0.3011  5 Co 2.32-2.49, 1 Ir 2.55
Fe: 0.1989 0.8867 0.0705  5 Co 2.32-2.49, 1 Ir 2.55
Fe: 0.3011 0.1133 0.5705  5 Co 2.32-2.49, 1 Ir 2.55
Fe: 0.3867 0.4295 0.8011  5 Co 2.32-2.49, 1 Ir 2.55
Fe: 0.4295 0.8011 0.3867  5 Co 2.32-2.49, 1 Ir 2.55
Fe: 0.5705 0.3011 0.1133  5 Co 2.32-2.49, 1 Ir 2.55
Fe: 0.6133 0.9295 0.6989  5 Co 2.32-2.49, 1 Ir 2.55
Fe: 0.6989 0.6133 0.9295  5 Co 2.32-2.49, 1 Ir 2.55
Fe: 0.8011 0.3867 0.4295  5 Co 2.32-2.49, 1 Ir 2.55
Fe: 0.8867 0.0705 0.1989  5 Co 2.32-2.49, 1 Ir 2.55
Fe: 0.9295 0.6989 0.6133  5 Co 2.32-2.49, 1 Ir 2.55
Co: 0.0995 0.4005 0.5995  6 Fe 2.43-2.49, 3 Ir 2.60
Co: 0.1124 0.8876 0.3876  6 Fe 2.32-2.45, 1 Ir 2.36
Co: 0.2103 0.2103 0.2103  6 Fe 2.49-2.71, 1 Ir 2.56, 3 Co 2.69
Co: 0.2897 0.7897 0.7103  6 Fe 2.49-2.71, 1 Ir 2.56, 3 Co 2.69
Co: 0.3876 0.1124 0.8876  6 Fe 2.32-2.45, 1 Ir 2.36
Co: 0.4005 0.5995 0.0995  6 Fe 2.43-2.49, 3 Ir 2.60
Co: 0.5995 0.0995 0.4005  6 Fe 2.43-2.49, 3 Ir 2.60
Co: 0.6124 0.6124 0.6124  6 Fe 2.32-2.45, 1 Ir 2.36
Co: 0.7103 0.2897 0.7897  6 Fe 2.49-2.71, 1 Ir 2.56, 3 Co 2.69
Co: 0.7897 0.7103 0.2897  6 Fe 2.49-2.71, 1 Ir 2.56, 3 Co 2.69
Co: 0.8876 0.3876 0.1124  6 Fe 2.32-2.45, 1 Ir 2.36
Co: 0.9005 0.9005 0.9005  6 Fe 2.43-2.49, 3 Ir 2.60
Ir: 0.0804 0.5804 0.9196  5 Co 2.36-2.60, 3 Fe 2.55
Ir: 0.4196 0.4196 0.4196  5 Co 2.36-2.60, 3 Fe 2.55
Ir: 0.5804 0.9196 0.0804  5 Co 2.36-2.60, 3 Fe 2.55
Ir: 0.9196 0.0804 0.5804  5 Co 2.36-2.60, 3 Fe 2.55

Record 11
Here is an optimized crystal structure of CdFeSi2 from Alexandria. Energies are from PBE.

Computed properties:
- Energy: -4.80 eV per atom
- DOS at the Fermi energy: 2.2 states/eV per cell
- Raw formation energy: 1.0 eV/f.u.
- Magnetization: 0.8 μB/cell

Cell: 3.3008 4.0176 4.9355 Å, 90.00 108.74 90.00°
With the nearest neighbours (Å) after each atom.
Positions (direct):
Cd: 0.0000 0.0000 0.0000  3 Si 2.53-2.71, 4 Fe 2.80-2.81
Fe: 0.6052 0.5000 0.2252  4 Si 2.29-2.43
Si: 0.2898 0.5000 0.6054  2 Fe 2.42-2.43, 4 Si 2.69
Si: 0.7195 0.0000 0.4588  2 Fe 2.29, 1 Cd 2.53